1.
BaSr2P2O8 | PBE | optimized geometry

```
data_BaSr2P2O8
_chemical_formula_sum 'Ba3 Sr6 P6 O24'
_cell_length_a 5.5170
_cell_length_b 5.5170
_cell_length_c 20.5007
_cell_angle_alpha 90.00
_cell_angle_beta 90.00
_cell_angle_gamma 120.00
_symmetry_space_group_name_H-M 'R -3 m'
_symmetry_Int_Tables_number 166
_symmetry_space_group_name_Hall '-R 3 2"'
loop_
_atom_site_label
_atom_site_fract_x
_atom_site_fract_y
_atom_site_fract_z
Ba1 0.0000 0.0000 0.0000
Sr1 0.0000 0.0000 0.2090
P1 0.0000 0.0000 0.4101
O1 0.0000 0.0000 0.3343
O2 0.0260 0.5130 0.2305
```

2.
BaTaPO2 | PBE | optimized geometry

```
data_BaTaPO2
_chemical_formula_sum 'Ba1 Ta1 P1 O2'
_cell_length_a 4.198
_cell_length_b 4.198
_cell_length_c 6.983
_cell_angle_alpha 90.00
_cell_angle_beta 90.00
_cell_angle_gamma 90.00
_symmetry_space_group_name_H-M 'P 4/m m m'
_symmetry_Int_Tables_number 123
_symmetry_space_group_name_Hall '-P 4 2'
loop_
_atom_site_label
_atom_site_fract_x
_atom_site_fract_y
_atom_site_fract_z
Ba1 0.000 0.000 0.000
Ta1 0.500 0.500 0.500
P1 0.000 0.000 0.500
O1 0.000 0.500 0.000
```

3.
BaTaPO2 | PBE | optimized geometry

```
data_BaTaPO2
_chemical_formula_sum 'Ba1 Ta1 P1 O2'
_cell_length_a 4.196
_cell_length_b 4.196
_cell_length_c 4.985
_cell_angle_alpha 90.00
_cell_angle_beta 90.00
_cell_angle_gamma 90.00
_symmetry_space_group_name_H-M 'P 4/m m m'
_symmetry_Int_Tables_number 123
_symmetry_space_group_name_Hall '-P 4 2'
loop_
_atom_site_label
_atom_site_fract_x
_atom_site_fract_y
_atom_site_fract_z
Ba1 0.000 0.000 0.000
Ta1 0.500 0.500 0.500
P1 0.500 0.500 0.000
O1 0.000 0.500 0.500
```

4.
BaTeP2O8 | PBE | optimized geometry

```
data_BaTeP2O8
_chemical_formula_sum 'Ba3 Te3 P6 O24'
_cell_length_a 4.9677
_cell_length_b 4.9677
_cell_length_c 24.4294
_cell_angle_alpha 90.00
_cell_angle_beta 90.00
_cell_angle_gamma 120.00
_symmetry_space_group_name_H-M 'R 3 2'
_symmetry_Int_Tables_number 155
_symmetry_space_group_name_Hall 'R 3 2"'
loop_
_atom_site_label
_atom_site_fract_x
_atom_site_fract_y
_atom_site_fract_z
Ba1 0.0000 0.0000 0.0000
Te1 0.0000 0.0000 0.5000
P1 0.0000 0.0000 0.2453
O1 0.0000 0.0000 0.3079
O2 0.0217 0.3077 0.2244
```

5.
BaTe2PO8 | PBE | optimized geometry

```
data_BaTe2PO8
_chemical_formula_sum 'Ba2 Te4 P2 O16'
_cell_length_a 10.214
_cell_length_b 4.954
_cell_length_c 7.779
_cell_angle_alpha 90.00
_cell_angle_beta 116.31
_cell_angle_gamma 90.00
_symmetry_space_group_name_H-M 'C 1 2/m 1'
_symmetry_Int_Tables_number 12
loop_
_symmetry_equiv_pos_as_xyz
'x,y,z'
'-x,-y,-z'
'-x,y,-z'
'x,-y,z'
'x+1/2,y+1/2,z'
'-x+1/2,-y+1/2,-z'
'-x+1/2,y+1/2,-z'
'x+1/2,-y+1/2,z'
loop_
_atom_site_label
_atom_site_fract_x
_atom_site_fract_y
_atom_site_fract_z
Ba1 0.000 0.000 0.000
Te1 0.179 0.000 0.641
P1 0.000 0.500 0.500
O1 0.033 0.255 0.673
O2 0.174 0.500 0.110
O3 0.184 0.500 0.563
```

6.
BaThP2O8 | PBE | optimized geometry

```
data_BaThP2O8
_chemical_formula_sum 'Ba4 Th4 P8 O32'
_cell_length_a 12.901
_cell_length_b 5.494
_cell_length_c 9.695
_cell_angle_alpha 90.00
_cell_angle_beta 101.56
_cell_angle_gamma 90.00
_symmetry_space_group_name_H-M 'C 1 2/c 1'
_symmetry_Int_Tables_number 15
loop_
_symmetry_equiv_pos_as_xyz
'x,y,z'
'-x,-y,-z'
'-x,y,-z+1/2'
'x,-y,z+1/2'
'x+1/2,y+1/2,z'
'-x+1/2,-y+1/2,-z'
'-x+1/2,y+1/2,-z+1/2'
'x+1/2,-y+1/2,z+1/2'
loop_
_atom_site_label
_atom_site_fract_x
_atom_site_fract_y
_atom_site_fract_z
Ba1 0.250 0.250 0.000
Th1 0.000 0.176 0.250
P1 0.090 0.266 0.608
O1 0.028 0.187 0.909
O2 0.109 0.480 0.178
O3 0.124 0.279 0.463
O4 0.153 0.062 0.702
```

7.
BaThP2O8 | PBE | optimized geometry

```
data_BaThP2O8
_chemical_formula_sum 'Ba1 Th1 P2 O8'
_cell_length_a 5.4399
_cell_length_b 5.4399
_cell_length_c 8.0145
_cell_angle_alpha 90.00
_cell_angle_beta 90.00
_cell_angle_gamma 120.00
_symmetry_space_group_name_H-M 'P -3'
_symmetry_Int_Tables_number 147
loop_
_symmetry_equiv_pos_as_xyz
'x,y,z'
'-x,-y,-z'
'-y,x-y,z'
'y,-x+y,-z'
'-x+y,-x,z'
'x-y,x,-z'
loop_
_atom_site_label
_atom_site_fract_x
_atom_site_fract_y
_atom_site_fract_z
Ba1 0.0000 0.0000 0.0000
Th1 0.0000 0.0000 0.5000
P1 0.3333 0.6667 0.7619
O1 0.1381 0.3615 0.6903
O2 0.3333 0.6667 0.9510
```

8.
BaTiP2O | PBE | optimized geometry

```
data_BaTiP2O
_chemical_formula_sum 'Ba1 Ti1 P2 O1'
_cell_length_a 5.105
_cell_length_b 5.105
_cell_length_c 3.907
_cell_angle_alpha 90.00
_cell_angle_beta 90.00
_cell_angle_gamma 90.00
_symmetry_space_group_name_H-M 'P 4/m m m'
_symmetry_Int_Tables_number 123
_symmetry_space_group_name_Hall '-P 4 2'
loop_
_atom_site_label
_atom_site_fract_x
_atom_site_fract_y
_atom_site_fract_z
Ba1 0.000 0.000 0.000
Ti1 0.500 0.500 0.500
P1 0.000 0.500 0.500
O1 0.500 0.500 0.000
```

| no. | magnetization (μB/atom) | Fermi-level density of states (states/eV per cell) | raw formation energy (kJ per mole of atoms) |
| --- | --- | --- | --- |
| 1 | 0.0000 | 0.00 | -276.7 |
| 2 | 0.3547 | 6.98 | 59.6 |
| 3 | 0.0000 | 1.34 | -184.8 |
| 4 | 0.0000 | 0.00 | -202.5 |
| 5 | 0.0000 | 11.62 | -140.4 |
| 6 | 0.0000 | 0.00 | -285.3 |
| 7 | 0.0000 | 0.00 | -281.8 |
| 8 | 0.1704 | 4.96 | -105.8 |